The following is a PBE-GGA calculation of a relaxed structure of Li8TlGa2, from the Alexandria database.

Cell lengths 4.538, 6.810, 6.810 Å; angles 105.26, 90.05, 90.05 degrees
Sites, in units of the cell vectors:
Li (0.999, 0.963, 0.696)
Li (0.999, 0.696, 0.963)
Li (0.500, 0.660, 0.660)
Li (0.500, 0.258, 0.742)
Li (0.500, 0.742, 0.258)
Li (0.500, 0.340, 0.340)
Li (0.001, 0.304, 0.037)
Li (0.001, 0.037, 0.304)
Tl (0.500, 0.000, 0.000)
Ga (0.000, 0.614, 0.386)
Ga (0.000, 0.386, 0.614)

Calculated total energy ... -25.7 eV/cell
Crystal system ... orthorhombic
Space-group type ... Cmmm (65)
Energy above the lowest structure with this stoichiometry ... 0 meV per atom
Energy of formation ... -180 meV/atom
D(E_F) ... 5.662 states/eV/cell
Spin magnetization ... 0.0 μB/f.u.